TeMoCl7O: relaxed, PBE with a Hubbard U.

Its magnetic moment is 1.00 μB per formula unit. The calculation puts the density of states at the Fermi level at 0.00 states/eV/f.u. The total DFT energy (no corrections) is -3.633 eV per atom.

The structure belongs to space group P2_1/c (No. 14); the cell edges are 7.9874, 12.9117 and 12.6821 Å and the angles 90.00°, 92.01° and 90.00°. The asymmetric unit holds Te at (0.2331, 0.1588, 0.3624), Mo at (0.4609, 0.5849, 0.6369), Cl at (0.0205, 0.1043, 0.2406), Cl at (0.0441, 0.2377, 0.4760), Cl at (0.2525, 0.0040, 0.4612), Cl at (0.2869, 0.1375, 0.7668), Cl at (0.2928, 0.5049, 0.4975), Cl at (0.4949, 0.7337, 0.5227), Cl at (0.4981, 0.0815, 0.2229) and O at (0.3084, 0.6323, 0.7122).